Compound: HfNbCr
Source: the Alexandria database
Functional: GGA-PBE
Structure: relaxed

CIF file:
```
data_HfNbCr
_chemical_formula_sum 'Hf4 Nb4 Cr4'
_symmetry_space_group_name_H-M 'C 1 m 1'
_symmetry_Int_Tables_number 8
_cell_length_a 9.888
_cell_length_b 4.497
_cell_length_c 5.774
_cell_angle_alpha 90.00
_cell_angle_beta 124.84
_cell_angle_gamma 90.00
loop_
_symmetry_equiv_pos_as_xyz
'x,y,z'
'x,-y,z'
'x+1/2,y+1/2,z'
'x+1/2,-y+1/2,z'
loop_
_atom_site_label
_atom_site_type_symbol
_atom_site_fract_x
_atom_site_fract_y
_atom_site_fract_z
Hf1 Hf 0.000 0.000 0.000
Hf2 Hf 0.153 0.500 0.831
Nb1 Nb 0.166 0.500 0.347
Nb2 Nb 0.306 0.000 0.649
Cr1 Cr 0.346 0.000 0.198
Cr2 Cr 0.473 0.500 0.466
```

Calculated values
E above lowest polymorph = 0.153 eV per atom
Formation enthalpy at 0 K = 160.2 meV per atom
Raw total energy = -9.722 eV per atom